1.
Crystalline RuWBr2 at its relaxed geometry. Source: the Alexandria database, functional PBE.

Structure (POSCAR):
```
RuWBr2
1.0
7.3965 -1.5849 0.0000
7.3965 1.5849 0.0000
-0.4463 0.0000 4.2134
Ru W Br
1 1 2
direct
0.0000 0.0000 0.0000
0.5000 0.5000 0.5000
0.1407 0.1407 0.7088
0.8593 0.8593 0.2912
```

Its space group is C2/m. The total energy comes out at -23.76 eV/cell.

---

2.
Crystalline RuWBr at its relaxed geometry. Source: the Alexandria database, functional PBE.

Structure (POSCAR):
```
RuWBr
1.0
-1.5027 1.5027 5.6634
1.5027 -1.5027 5.6634
1.5027 1.5027 -5.6634
Ru W Br
1 1 1
direct
0.0000 0.0000 0.0000
0.3641 0.3641 0.0000
0.6972 0.6972 0.0000
```

Its space group is I4mm. The total energy comes out at -22.31 eV/cell.

---

3.
Crystalline RuWBr4 at its relaxed geometry. Source: the Alexandria database, functional PBE.

Structure (POSCAR):
```
RuWBr4
1.0
0.0000 4.2729 4.2729
4.2729 0.0000 4.2729
4.2729 4.2729 0.0000
Ru W Br
1 1 4
direct
0.0000 0.0000 0.0000
0.7500 0.7500 0.7500
0.3749 0.3749 0.3749
0.3749 0.3749 0.8752
0.3749 0.8752 0.3749
0.8752 0.3749 0.3749
```

Its space group is F-43m. The total energy comes out at -16.44 eV/cell.

---

4.
Crystalline RuWBr2 at its relaxed geometry. Source: the Alexandria database, functional PBE.

Structure (POSCAR):
```
RuWBr2
1.0
2.9616 0.0000 0.0000
0.0000 4.4707 0.0000
0.0000 0.0000 5.5031
Ru W Br
1 1 2
direct
0.0000 0.0000 0.0000
0.5000 0.0000 0.5000
0.0000 0.5000 0.5000
0.5000 0.5000 0.0000
```

Its space group is Pmmm. The total energy comes out at -20.75 eV/cell.

---

5.
Crystalline RuW3Br at its relaxed geometry. Source: the Alexandria database, functional PBE.

Structure (POSCAR):
```
RuW3Br
1.0
4.7716 0.0000 0.0000
0.0000 4.7716 0.0000
0.0000 0.0000 4.7716
Ru W Br
1 3 1
direct
0.0000 0.0000 0.0000
0.0000 0.0000 0.5000
0.0000 0.5000 0.0000
0.5000 0.0000 0.0000
0.5000 0.5000 0.5000
```

Its space group is Pm-3m. The total energy comes out at -38.89 eV/cell.

---

6.
Crystalline Ru4WBr at its relaxed geometry. Source: the Alexandria database, functional PBE.

Structure (POSCAR):
```
Ru4WBr
1.0
0.0000 3.6354 3.6354
3.6354 0.0000 3.6354
3.6354 3.6354 0.0000
Ru W Br
4 1 1
direct
0.1247 0.1247 0.1247
0.1247 0.1247 0.6260
0.1247 0.6260 0.1247
0.6260 0.1247 0.1247
0.7500 0.7500 0.7500
0.5000 0.5000 0.5000
```

Its space group is F-43m. The total energy comes out at -45.41 eV/cell.

---

7.
Crystalline RuWBr2 at its relaxed geometry. Source: the Alexandria database, functional PBE.

Structure (POSCAR):
```
RuWBr2
1.0
1.7586 1.0153 9.0554
-1.7586 1.0153 9.0554
0.0000 -2.0306 9.0554
Ru W Br
1 1 2
direct
0.0000 0.0000 0.0000
0.7159 0.7159 0.7159
0.2629 0.2629 0.2629
0.4565 0.4565 0.4565
```

Its space group is R3m. The total energy comes out at -25.26 eV/cell.

---

8.
Crystalline RuWBr at its relaxed geometry. Source: the Alexandria database, functional PBE.

Structure (POSCAR):
```
RuWBr
1.0
0.0000 3.0403 3.0403
3.0403 0.0000 3.0403
3.0403 3.0403 0.0000
Ru W Br
1 1 1
direct
0.0000 0.0000 0.0000
0.2500 0.2500 0.2500
0.5000 0.5000 0.5000
```

Its space group is F-43m. The total energy comes out at -20.77 eV/cell.

---

Number 1: total magnetic moment 0.00 μB/cell, ΔE_f (raw) 0.454 eV per atom. Number 2: total magnetic moment 0.00 μB/cell, ΔE_f (raw) 0.531 eV per atom. Number 3: total magnetic moment 6.92 μB/cell, ΔE_f (raw) 2.081 eV per atom. Number 4: total magnetic moment 0.68 μB/cell, ΔE_f (raw) 1.207 eV per atom. Number 5: total magnetic moment 0.00 μB/cell, ΔE_f (raw) 2.183 eV per atom. Number 6: total magnetic moment 0.00 μB/cell, ΔE_f (raw) 1.053 eV per atom. Number 7: total magnetic moment 0.00 μB/cell, ΔE_f (raw) 0.078 eV per atom. Number 8: total magnetic moment 0.00 μB/cell, ΔE_f (raw) 1.045 eV per atom.